[1]
Computed, not measured: a geometry-optimized AcPuNF structure at the PBE-GGA level of DFT.

a = 4.606 Å, b = 4.606 Å, c = 4.606 Å
α = 60.00°, β = 60.00°, γ = 60.00°
Fractional positions:
Ac1 0.000 0.000 0.000
F1 0.750 0.750 0.750
Pu1 0.500 0.500 0.500
N1 0.250 0.250 0.250

## Properties
Energy relative to the elements, uncorrected in eV per atom: -1.14
V in Å³/cell: 69
SG: F-43m, No. 216

[2]
Computed, not measured: a geometry-optimized Na2Ac2F7 structure at the PBE-GGA level of DFT.

a = 5.905 Å, b = 5.660 Å, c = 5.905 Å
α = 90.00°, β = 89.94°, γ = 90.00°
Fractional positions:
F1 0.500 0.749 0.500
Na1 0.264 0.000 0.736
F2 0.500 0.741 0.000
F3 0.000 0.741 0.500
Ac1 0.253 0.500 0.253
F4 0.500 0.259 0.000
F5 0.500 0.251 0.500
Na2 0.736 0.000 0.264
F6 0.000 0.259 0.500
Ac2 0.747 0.500 0.747
F7 0.000 0.000 0.000

## Properties
Energy relative to the elements, uncorrected in eV per atom: -3.40
V in Å³/cell: 197
SG: Cmmm, No. 65

[3]
Computed, not measured: a geometry-optimized NaAc2F7 structure at the PBE-GGA level of DFT.

a = 4.355 Å, b = 4.355 Å, c = 11.543 Å
α = 79.13°, β = 79.13°, γ = 60.00°
Fractional positions:
Ac1 0.072 0.072 0.784
Ac2 0.928 0.928 0.216
Na1 0.500 0.500 0.500
F1 0.141 0.141 0.577
F2 0.000 0.000 0.000
F3 0.725 0.725 0.826
F4 0.424 0.424 0.729
F5 0.275 0.275 0.174
F6 0.859 0.859 0.423
F7 0.576 0.576 0.271

## Properties
Energy relative to the elements, uncorrected in eV per atom: -3.86
V in Å³/cell: 185
SG: R-3m, No. 166

[4]
Computed, not measured: a geometry-optimized Na2AcF4 structure at the PBE-GGA level of DFT.

a = 4.869 Å, b = 4.869 Å, c = 8.261 Å
α = 72.86°, β = 72.86°, γ = 90.00°
Fractional positions:
Na1 0.696 0.696 0.608
F1 0.000 0.500 0.000
F2 0.160 0.160 0.680
Ac1 0.000 0.000 0.000
Na2 0.304 0.304 0.392
F3 0.840 0.840 0.320
F4 0.500 0.000 0.000

## Properties
Energy relative to the elements, uncorrected in eV per atom: -2.94
V in Å³/cell: 178
SG: I4/mmm, No. 139